(1)
{"formula": "Ce2AlRe", "functional": "GGA-PBE", "state": "relaxed", "e_above_lowest_polymorph_ev_per_atom": 0.392, "formation_energy_kj_per_mol_atoms": 33.9, "density_g_cm3": 9.8, "lattice": [[-1.874, -2.242, -0.622], [0.843, -2.179, -1.863], [3.582, -7.065, 7.489]], "species": ["Re", "Ce", "Ce", "Al"], "frac_coords": [[0.000, 0.000, 0.000], [0.918, 0.918, 0.245], [0.082, 0.082, 0.755], [0.500, 0.500, 0.500]]}


(2)
{"formula": "La2Nd3Ho", "functional": "GGA-PBE", "state": "relaxed", "e_above_lowest_polymorph_ev_per_atom": 0.227, "formation_energy_kj_per_mol_atoms": 22.2, "density_g_cm3": 6.8, "lattice": [[-2.545, 2.335, -0.293], [-4.418, -4.484, 2.630], [3.710, 6.140, 16.698]], "species": ["Nd", "Nd", "Nd", "Nd", "Nd", "Nd", "La", "La", "La", "La", "Ho", "Ho"], "frac_coords": [[0.000, 0.271, 0.648], [0.000, 0.729, 0.352], [0.500, 0.771, 0.852], [0.000, 0.000, 0.000], [0.500, 0.500, 0.500], [0.500, 0.229, 0.148], [0.500, 0.264, 0.818], [0.000, 0.764, 0.682], [0.000, 0.236, 0.318], [0.500, 0.736, 0.182], [0.500, 0.500, 0.000], [0.000, 0.000, 0.500]]}


(3)
{"formula": "HgRhO2F", "functional": "GGA-PBE", "state": "relaxed", "raw_formation_energy_mev_per_atom": 520, "density_g_cm3": 7.5, "lattice": [[4.253, 0.000, 0.000], [0.000, 4.253, 0.000], [0.000, 0.000, 4.324]], "species": ["Rh", "O", "O", "F", "Hg"], "frac_coords": [[0.500, 0.500, 0.500], [0.500, 0.000, 0.000], [0.000, 0.500, 0.000], [0.000, 0.000, 0.500], [0.000, 0.000, 0.000]]}


(4)
{"formula": "KZnSnTe3", "functional": "GGA-PBE", "state": "relaxed", "raw_formation_energy_mev_per_atom": -505, "density_g_cm3": 4.7, "lattice": [[4.278, 0.000, 0.000], [0.000, 10.040, -0.150], [0.000, -2.800, 9.991]], "species": ["Te", "Te", "Te", "Te", "Te", "Te", "Zn", "Zn", "K", "K", "Sn", "Sn"], "frac_coords": [[0.250, 0.121, 0.871], [0.750, 0.203, 0.529], [0.250, 0.797, 0.471], [0.750, 0.879, 0.129], [0.250, 0.540, 0.828], [0.750, 0.460, 0.172], [0.750, 0.922, 0.396], [0.250, 0.078, 0.604], [0.750, 0.807, 0.758], [0.250, 0.193, 0.242], [0.250, 0.660, 0.125], [0.750, 0.340, 0.875]]}


(5)
{"formula": "Co2Se", "functional": "GGA-PBE", "state": "relaxed", "e_above_lowest_polymorph_ev_per_atom": 0.266, "raw_formation_energy_mev_per_atom": 135, "density_g_cm3": 8.3, "lattice": [[1.827, 4.551, 0.032], [-1.827, 4.551, 0.032], [0.000, 1.583, 4.754]], "species": ["Se", "Se", "Co", "Co", "Co", "Co"], "frac_coords": [[0.821, 0.821, 0.173], [0.179, 0.179, 0.827], [0.865, 0.865, 0.662], [0.447, 0.447, 0.303], [0.553, 0.553, 0.697], [0.135, 0.135, 0.338]]}


(6)
{"formula": "Lu2TcPd", "functional": "GGA-PBE", "state": "relaxed", "e_above_lowest_polymorph_ev_per_atom": 0.047, "formation_energy_kj_per_mol_atoms": -47.0, "density_g_cm3": 11.9, "lattice": [[-1.144, 2.559, -3.877], [-4.384, 1.869, -0.425], [-0.629, 4.730, 0.355]], "species": ["Lu", "Lu", "Tc", "Pd"], "frac_coords": [[0.250, 0.250, 0.250], [0.750, 0.750, 0.750], [0.000, 0.000, 0.000], [0.500, 0.500, 0.500]]}


Number 1: spin magnetization 0.0 Bohr magnetons per cell. Number 2: spin magnetization 0.0 Bohr magnetons per cell. Number 3: spin magnetization 3.0 Bohr magnetons per cell. Number 4: spin magnetization 0.0 Bohr magnetons per cell. Number 5: spin magnetization 4.2 Bohr magnetons per cell. Number 6: spin magnetization 0.0 Bohr magnetons per cell.